[1]
Sc6CuSe5 after structural relaxation. Source: Alexandria, functional PBE-GGA.

Cell and atoms, written as POSCAR:
```
Sc6CuSe5
1.0
-1.9345 -2.0782 -6.0684
-1.7496 -6.4535 0.2980
-6.3321 -1.6912 1.3628
Sc Cu Se
6 1 5
Cartesian
-0.8842 -2.0358 -1.3998
-3.6332 -2.6301 -4.1591
-2.7999 -6.4960 -4.3706
-3.5384 -4.9202 -0.8356
-6.4777 -5.3027 -3.5720
-6.3829 -7.5928 -0.2485
0.0000 0.0000 0.0000
-2.6776 -2.7195 0.5500
-5.4040 -5.4252 1.1108
-1.8420 -4.2659 -2.8852
-5.4159 -3.2603 -2.0903
-4.6003 -6.9626 -2.3173
```

Values from the calculation:
ΔE_f (raw): -1.3831 eV per atom
uncorrected energy: -6.342 eV/atom

***

[2]
ScCu2Se after structural relaxation. Source: Alexandria, functional PBE-GGA.

Cell and atoms, written as POSCAR:
```
ScCu2Se
1.0
-3.3754 -4.3305 -2.0325
5.8129 0.4817 -0.5055
1.5126 -3.1934 0.9618
Cu Se Sc
2 1 1
Cartesian
1.2188 -1.9244 -1.2690
0.0000 0.0000 0.0000
3.6627 -1.3558 0.2282
-0.9314 -3.7619 -0.5353
```

Values from the calculation:
ΔE_f (raw): -0.3326 eV per atom
uncorrected energy: -4.835 eV/atom

***

[3]
ScCuSe2 after structural relaxation. Source: Alexandria, functional PBE-GGA.

Cell and atoms, written as POSCAR:
```
ScCuSe2
1.0
2.3001 0.0000 7.4385
-1.1500 1.9919 7.4385
-1.1500 -1.9919 7.4385
Se Sc Cu
2 1 1
Cartesian
0.0000 0.0000 2.2635
0.0000 0.0000 20.0519
0.0000 0.0000 11.1577
0.0000 0.0000 0.0000
```

Values from the calculation:
ΔE_f (raw): -1.0125 eV per atom
uncorrected energy: -5.362 eV/atom

***

[4]
ScCu2Se after structural relaxation. Source: Alexandria, functional PBE-GGA.

Cell and atoms, written as POSCAR:
```
ScCu2Se
1.0
4.5374 0.0000 0.0000
2.2687 3.9295 0.0000
2.2687 1.3098 3.7048
Cu Se Sc
2 1 1
Cartesian
0.0000 0.0000 0.0000
6.8061 3.9295 2.7786
2.2687 1.3098 0.9262
4.5374 2.6197 1.8524
```

Values from the calculation:
ΔE_f (raw): -0.2271 eV per atom
uncorrected energy: -4.729 eV/atom

***

[5]
Sc5CuSe4 after structural relaxation. Source: Alexandria, functional PBE-GGA.

Cell and atoms, written as POSCAR:
```
Sc5CuSe4
1.0
4.9420 0.0000 2.3837
2.4710 6.0839 1.1918
-0.1721 0.0000 6.6717
Se Sc Cu
4 5 1
Cartesian
4.3980 3.6587 3.5245
1.4225 1.2639 3.3787
2.8531 2.4252 6.7275
5.8286 4.8200 6.8734
1.9698 3.7248 2.2440
2.4765 0.0000 1.1945
5.2814 2.3591 8.0081
3.3290 4.9185 5.7411
3.9223 1.1655 4.5110
0.0047 0.0000 0.0023
```

Values from the calculation:
ΔE_f (raw): -1.3187 eV per atom
uncorrected energy: -6.288 eV/atom

***

[6]
Sc2CuSe4 after structural relaxation. Source: Alexandria, functional PBE-GGA.

Cell and atoms, written as POSCAR:
```
Sc2CuSe4
1.0
-1.6929 -3.9001 -5.3712
5.3212 -1.6239 -0.4980
-0.8546 -4.6789 6.1247
Se Cu Sc
8 2 4
Cartesian
3.5161 -3.4180 1.7271
1.5024 -4.0859 -1.5048
-0.3783 -4.6800 -4.4448
3.8565 -6.9059 1.5184
-0.7424 -6.7849 -1.4715
-1.0827 -3.2970 -1.2629
3.1520 -5.5229 4.7003
1.2714 -6.1170 1.7604
3.4372 -2.9617 -0.6041
-0.6634 -7.2411 0.8597
2.2373 -6.7803 -0.9740
0.5365 -3.4226 1.2296
0.2110 -5.4377 4.3227
2.5628 -4.7651 -4.0671
```

Values from the calculation:
ΔE_f (raw): -1.0777 eV per atom
uncorrected energy: -5.463 eV/atom